Record 1
Computed, not measured: an optimized crystal structure of Cs2In3BiPb4 at the PBE level of DFT.

Cell lengths 5.424, 5.424, 12.927 Å; angles 90.00, 90.00, 90.00 degrees
Positions (direct):
Pb 0.500 0.500 0.000
Pb 0.000 0.000 0.000
Pb 0.500 0.000 0.631
Cs 0.000 0.500 0.749
Cs 0.500 0.000 0.251
In 0.000 0.000 0.500
Bi 0.500 0.500 0.500
Pb 0.000 0.500 0.369
In 0.000 0.500 0.124
In 0.500 0.000 0.876

Output
Raw total energy: -2.9875 eV per atom
DFT formation energy: -119.5 kJ/mol of formula units
Space-group type: P-4m2, No. 115



Record 2
Computed, not measured: an optimized crystal structure of Cs2In4Bi3Pb at the PBE level of DFT.

Cell lengths 5.285, 5.285, 13.738 Å; angles 90.00, 90.00, 90.00 degrees
Positions (direct):
In 0.000 0.000 0.000
Bi 0.500 0.000 0.871
Bi 0.000 0.500 0.129
Pb 0.500 0.500 0.500
In 0.500 0.000 0.631
In 0.000 0.500 0.369
Cs 0.500 0.000 0.252
Bi 0.000 0.000 0.500
In 0.500 0.500 0.000
Cs 0.000 0.500 0.748

Output
Raw total energy: -2.9880 eV per atom
DFT formation energy: -180.3 kJ/mol of formula units
Space-group type: P-4m2, No. 115



Record 3
Computed, not measured: an optimized crystal structure of Cs2InBi3Pb4 at the PBE level of DFT.

Cell lengths 5.441, 5.441, 13.707 Å; angles 90.00, 90.00, 90.00 degrees
Positions (direct):
Bi 0.000 0.500 0.136
In 0.500 0.500 0.500
Bi 0.500 0.000 0.864
Bi 0.000 0.000 0.500
Cs 0.500 0.000 0.259
Pb 0.500 0.500 0.000
Pb 0.500 0.000 0.624
Pb 0.000 0.500 0.376
Cs 0.000 0.500 0.741
Pb 0.000 0.000 0.000

Output
Raw total energy: -3.2623 eV per atom
DFT formation energy: -164.2 kJ/mol of formula units
Space-group type: P-4m2, No. 115



Record 4
Computed, not measured: an optimized crystal structure of CsInBi2Pb at the PBE level of DFT.

Cell lengths 5.401, 5.401, 7.914 Å; angles 109.95, 109.95, 90.00 degrees
Positions (direct):
In 0.750 0.250 0.500
Bi 0.621 0.621 0.243
Pb 0.250 0.750 0.500
Bi 0.379 0.379 0.757
Cs 0.000 0.000 0.000

Output
Raw total energy: -3.2242 eV per atom
DFT formation energy: -102.1 kJ/mol of formula units
Space-group type: I-4m2, No. 119